# CoSiTc2

A crystal of CoSiTc2 relaxed with PBEsol (SCAN, the Alexandria database).

```
CoSiTc2
1.0
2.7035 0.0000 0.0000
0.0000 3.8855 0.0000
-1.3518 0.0000 4.7197
Tc Co Si
2 1 1
direct
0.3003 0.5000 0.6005
0.9442 0.0000 0.8884
0.6822 0.0000 0.3644
0.5615 0.5000 0.1231
```

Computed properties:
Formation energy (no corrections)   -0.178 eV/atom
DFT total energy   -24.538 eV per atom
M_tot   0.0000 μB/atom